GGA-PBE Ir4C, optimized geometry; distance to the lowest polymorph of the same formula = 0.60 eV/f.u.; energy = -8.2712 eV per atom; formation enthalpy at 0 K = 63.9 kJ/mol of atoms; density = 19.1 g cm⁻³
1.0
4.078 0.000 0.000
0.000 4.078 0.000
0.000 0.000 4.078
Ir C
4 1
Cartesian
0.000 0.000 0.000
0.000 2.039 2.039
2.039 0.000 2.039
2.039 2.039 0.000
2.039 2.039 2.039